Computed, not measured: an optimized crystal structure of Cs2Li2As at the PBE level of DFT.

It has space group P4/mbm (No. 127), with a = 7.356 Å, b = 7.356 Å, c = 6.259 Å, α = 90.00°, β = 90.00° and γ = 90.00°. The distinct sites, in fractional coordinates, are Cs at (0.213, 0.287, 0.000), Li at (0.196, 0.696, 0.500) and As at (0.000, 0.000, 0.500).

The calculation puts the density of states at the Fermi level at 3.963 states/eV per cell. The magnetic moment comes out at 0.00 μB/cell. The energy of formation comes out at -0.18 eV per atom.

Computed, not measured: an optimized crystal structure of CrP2 at the PBE level of DFT.

It has space group I4/mcm (No. 140), with a = 5.377 Å, b = 5.377 Å, c = 5.297 Å, α = 90.00°, β = 90.00° and γ = 90.00°. The distinct sites, in fractional coordinates, are Cr at (0.000, 0.000, 0.250) and P at (0.146, 0.354, 0.000).

The calculation puts the density of states at the Fermi level at 8.802 states/eV per cell. The magnetic moment comes out at 2.93 μB/cell. The energy of formation comes out at -0.23 eV per atom.

Computed, not measured: an optimized crystal structure of Na2PdO at the PBE level of DFT.

It has space group Cmcm (No. 63), with a = 3.833 Å, b = 12.021 Å, c = 5.766 Å, α = 90.00°, β = 90.00° and γ = 90.00°. The distinct sites, in fractional coordinates, are Na at (0.000, 0.158, 0.006), Pd at (0.000, 0.483, 0.750) and O at (0.000, 0.309, 0.750).

The uncorrected formation energy is -0.6213 eV/atom. The calculation puts the density of states at the Fermi level at 7.925 states/eV per cell. The magnetic moment comes out at 0.00 μB/cell.

Computed, not measured: an optimized crystal structure of TbPr2F11 at the PBE level of DFT.

It has space group Ibam (No. 72), with a = 8.770 Å, b = 10.523 Å, c = 11.421 Å, α = 90.00°, β = 90.00° and γ = 90.00°. The distinct sites, in fractional coordinates, are Tb at (0.000, 0.000, 0.250), Pr at (0.165, 0.309, 0.000), F at (0.000, 0.500, 0.000), F at (0.099, 0.168, 0.148), F at (0.106, 0.313, 0.500) and F at (0.195, 0.073, 0.366).

The uncorrected formation energy is -3.4009 eV/atom. The calculation puts the density of states at the Fermi level at 47.608 states/eV per cell. The magnetic moment comes out at 8.46 μB/cell.

Computed, not measured: an optimized crystal structure of HgAsSe2 at the PBE level of DFT.

It has space group F-43m (No. 216), with a = 7.013 Å, b = 7.013 Å, c = 7.013 Å, α = 90.00°, β = 90.00° and γ = 90.00°. The distinct sites, in fractional coordinates, are Hg at (0.000, 0.000, 0.000), As at (0.250, 0.250, 0.250), Se at (0.000, 0.000, 0.500) and Se at (0.250, 0.250, 0.750).

The uncorrected formation energy is 0.4912 eV/atom. The calculation puts the density of states at the Fermi level at 10.685 states/eV per cell. The magnetic moment comes out at 0.00 μB/cell.

Computed, not measured: an optimized crystal structure of Dy2MgRh at the PBE level of DFT.

It has space group Fm-3m (No. 225), with a = 7.143 Å, b = 7.143 Å, c = 7.143 Å, α = 90.00°, β = 90.00° and γ = 90.00°. The distinct sites, in fractional coordinates, are Dy at (0.250, 0.250, 0.250), Mg at (0.000, 0.000, 0.000) and Rh at (0.000, 0.000, 0.500).

The calculation puts the density of states at the Fermi level at 6.043 states/eV per cell. The magnetic moment comes out at 0.00 μB/cell. The energy of formation comes out at -0.41 eV per atom.

Computed, not measured: an optimized crystal structure of AcInSe2O at the PBE level of DFT.

It has space group P4/nmm (No. 129, origin choice 2), with a = 4.255 Å, b = 4.255 Å, c = 13.718 Å, α = 90.00°, β = 90.00° and γ = 90.00°. The distinct sites, in fractional coordinates, are Ac at (0.250, 0.250, 0.094), In at (0.250, 0.250, 0.605), Se at (0.250, 0.250, 0.413), Se at (0.250, 0.250, 0.790) and O at (0.250, 0.750, 0.000).

The uncorrected formation energy is -1.7891 eV/atom. The magnetic moment comes out at 0.00 μB/cell.

Computed, not measured: an optimized crystal structure of Rh2CO at the PBE level of DFT.

It has space group Fm-3m (No. 225), with a = 5.447 Å, b = 5.447 Å, c = 5.447 Å, α = 90.00°, β = 90.00° and γ = 90.00°. The distinct sites, in fractional coordinates, are Rh at (0.250, 0.250, 0.250), C at (0.000, 0.000, 0.000) and O at (0.000, 0.000, 0.500).

The uncorrected formation energy is 0.8127 eV/atom. The calculation puts the density of states at the Fermi level at 8.342 states/eV per cell. The magnetic moment comes out at 0.00 μB/cell.

Computed, not measured: an optimized crystal structure of Zr2NiPb at the PBE level of DFT.

It has space group I-42d (No. 122), with a = 7.566 Å, b = 7.566 Å, c = 6.067 Å, α = 90.00°, β = 90.00° and γ = 90.00°. The distinct sites, in fractional coordinates, are Zr at (0.197, 0.250, 0.125), Ni at (0.000, 0.000, 0.000) and Pb at (0.000, 0.000, 0.500).

The calculation puts the density of states at the Fermi level at 14.331 states/eV per cell. The magnetic moment comes out at 0.00 μB/cell. The energy of formation comes out at 0.01 eV per atom.

Computed, not measured: an optimized crystal structure of Sr2AlGa3 at the PBE level of DFT.

It has space group P-6m2 (No. 187), with a = 4.3770 Å, b = 4.3770 Å, c = 9.6577 Å, α = 90.00°, β = 90.00° and γ = 120.00°. The distinct sites, in fractional coordinates, are Sr at (0.0000, 0.0000, 0.2489), Al at (0.3333, 0.6667, 0.5000), Ga at (0.3333, 0.6667, 0.0000), Ga at (0.6667, 0.3333, 0.0000) and Ga at (0.6667, 0.3333, 0.5000).

The calculation puts the density of states at the Fermi level at 2.444 states/eV per cell. The magnetic moment comes out at 0.00 μB/cell. The energy of formation comes out at -0.44 eV per atom.

Computed, not measured: an optimized crystal structure of LaSbOs2 at the PBE level of DFT.

It has space group R-3m (No. 166, hexagonal axes), with a = 3.3634 Å, b = 3.3634 Å, c = 25.3857 Å, α = 90.00°, β = 90.00° and γ = 120.00°. The distinct sites, in fractional coordinates, are La at (0.0000, 0.0000, 0.0000), Sb at (0.0000, 0.0000, 0.5000) and Os at (0.0000, 0.0000, 0.2420).

The uncorrected formation energy is 0.7250 eV/atom. The calculation puts the density of states at the Fermi level at 7.159 states/eV per cell. The magnetic moment comes out at 0.00 μB/cell.

Computed, not measured: an optimized crystal structure of Cs2CrH4 at the PBE level of DFT.

It has space group I4/mmm (No. 139), with a = 4.180 Å, b = 4.180 Å, c = 14.858 Å, α = 90.00°, β = 90.00° and γ = 90.00°. The distinct sites, in fractional coordinates, are Cs at (0.000, 0.000, 0.145), Cr at (0.000, 0.000, 0.500), H at (0.000, 0.000, 0.379) and H at (0.000, 0.500, 0.000).

The calculation puts the density of states at the Fermi level at 0.353 states/eV per cell. The value obtained for the total energy is -50.023 eV for the cell shown. The magnetic moment comes out at 8.00 μB/cell.

Computed, not measured: an optimized crystal structure of SiNiTe2 at the PBE level of DFT.

It has space group C2/m (No. 12), with a = 6.761 Å, b = 3.894 Å, c = 6.735 Å, α = 90.00°, β = 109.52° and γ = 90.00°. The distinct sites, in fractional coordinates, are Si at (0.000, 0.000, 0.000), Ni at (0.000, 0.500, 0.500) and Te at (0.243, 0.000, 0.729).

The uncorrected formation energy is 0.0578 eV/atom. The calculation puts the density of states at the Fermi level at 3.649 states/eV per cell. The magnetic moment comes out at 0.00 μB/cell.

Computed, not measured: an optimized crystal structure of Pm3Nd3Ho2 at the PBE level of DFT.

It has space group C2/m (No. 12), with a = 16.622 Å, b = 5.815 Å, c = 6.060 Å, α = 90.00°, β = 111.25° and γ = 90.00°. The distinct sites, in fractional coordinates, are Pm at (0.000, 0.000, 0.000), Pm at (0.134, 0.000, 0.579), Nd at (0.000, 0.500, 0.500), Nd at (0.135, 0.500, 0.191) and Ho at (0.250, 0.000, 0.182).

The calculation puts the density of states at the Fermi level at 26.144 states/eV per cell. The magnetic moment comes out at 0.00 μB/cell. The energy of formation comes out at 0.07 eV per atom.

Computed, not measured: an optimized crystal structure of La2CdGe at the PBE level of DFT.

It has space group P4/mmm (No. 123), with a = 3.952 Å, b = 3.952 Å, c = 7.237 Å, α = 90.00°, β = 90.00° and γ = 90.00°. The distinct sites, in fractional coordinates, are La at (0.000, 0.000, 0.216), Cd at (0.500, 0.500, 0.500) and Ge at (0.500, 0.500, 0.000).

The calculation puts the density of states at the Fermi level at 3.299 states/eV per cell. The magnetic moment comes out at 0.00 μB/cell. The energy of formation comes out at -0.55 eV per atom.

Computed, not measured: an optimized crystal structure of ReTc2N2 at the PBE level of DFT.

It has space group P4/mbm (No. 127), with a = 6.650 Å, b = 6.650 Å, c = 2.682 Å, α = 90.00°, β = 90.00° and γ = 90.00°. The distinct sites, in fractional coordinates, are Re at (0.000, 0.000, 0.000), Tc at (0.138, 0.362, 0.000) and N at (0.122, 0.622, 0.500).

The uncorrected formation energy is 1.1460 eV/atom. The calculation puts the density of states at the Fermi level at 7.218 states/eV per cell. The magnetic moment comes out at 0.00 μB/cell.